[1]
VASP calculation (PBE) on a relaxed U4Se5S crystal.

Unit cell a=17.390 b=3.943 c=8.058 alpha=90.00 beta=103.61 gamma=90.00
Space group C2/m (No. 12)
Inequivalent atoms, fractional coordinates:
U 0.000 0.000 0.241 [4 per cell]
U 0.164 0.500 0.086 [4 per cell]
Se 0.000 0.500 0.500 [2 per cell]
Se 0.165 0.000 0.336 [4 per cell]
Se 0.168 0.000 0.829 [4 per cell]
S 0.000 0.500 0.000 [2 per cell]

Values from the calculation:
The calculation puts the energy at -7.7936 eV per atom. Its total moment is 0.016 μB/atom. As for the uncorrected formation energy: -1123 meV/atom.

[2]
VASP calculation (PBE) on a relaxed U5Se5S2 crystal.

Unit cell a=13.344 b=3.907 c=11.969 alpha=90.00 beta=108.59 gamma=90.00
Space group C2/m (No. 12)
Inequivalent atoms, fractional coordinates:
U 0.000 0.000 0.000 [2 per cell]
U 0.122 0.000 0.427 [4 per cell]
U 0.179 0.500 0.794 [4 per cell]
Se 0.000 0.500 0.500 [2 per cell]
Se 0.165 0.500 0.050 [4 per cell]
Se 0.233 0.500 0.335 [4 per cell]
S 0.031 0.000 0.787 [4 per cell]

Values from the calculation:
The calculation puts the energy at -7.9600 eV per atom. Its total moment is 0.268 μB/atom. As for the uncorrected formation energy: -1117 meV/atom.

[3]
VASP calculation (PBE) on a relaxed U6Se5S crystal.

Unit cell a=7.085 b=12.320 c=6.775 alpha=90.00 beta=110.61 gamma=90.00
Space group C2/m (No. 12)
Inequivalent atoms, fractional coordinates:
U 0.235 0.000 0.248 [4 per cell]
U 0.238 0.161 0.738 [8 per cell]
Se 0.000 0.176 0.000 [4 per cell]
Se 0.000 0.337 0.500 [4 per cell]
Se 0.000 0.500 0.000 [2 per cell]
S 0.000 0.000 0.500 [2 per cell]

Values from the calculation:
The calculation puts the energy at -8.4943 eV per atom. Its total moment is 1.288 μB/atom. As for the uncorrected formation energy: -1054 meV/atom.

[4]
VASP calculation (PBE) on a relaxed U2Se2S crystal.

Unit cell a=3.9410 b=3.9410 c=30.2213 alpha=90.00 beta=90.00 gamma=120.00
Space group R-3m (No. 166, hexagonal axes)
Inequivalent atoms, fractional coordinates:
U 0.0000 0.0000 0.1150 [6 per cell]
Se 0.0000 0.0000 0.2731 [6 per cell]
S 0.0000 0.0000 0.5000 [3 per cell]

Values from the calculation:
The calculation puts the energy at -7.9394 eV per atom. The energy above the most stable polymorph in this dataset is 0.0 kJ per mole of atoms. Its total moment is 0.817 μB/atom. As for the uncorrected formation energy: -1205 meV/atom.

Q: Look up the energy of the second one.
A: -7.9600 eV per atom

Q: What is the formula in the first record?
A: U4Se5S